# NpCr2O8

NpCr2O8 after structural relaxation (GGA+U, Alexandria).

Unit cell a=9.9221 b=6.7743 c=3.9478 alpha=90.00 beta=90.18 gamma=90.00
With the nearest neighbours (Å) after each atom.
Space group C2/m (No. 12)
Unique sites:
1 Np 0.0000 0.0000 0.0000 x2  4 O 1.93
2 Cr 0.1132 0.5000 0.2507 x4  2 O 1.72-1.92
3 O 0.0799 0.5000 0.7493 x4  3 Cr 1.92-2.01
4 O 0.0939 0.2065 0.2401 x8  1 Np 1.93, 1 Cr 2.00
5 O 0.2139 0.0000 0.7559 x4  1 Cr 1.72

calculated total energy	-7.7835	eV per atom
V	12.1	Å³/atom